[1]
# NaSiNiAg2 (PBE, relaxed)
data_NaSiNiAg2
_space_group_name_H-M_alt 'P 1'
_space_group_IT_number 1
_space_group_name_Hall 'P 1'
_cell_length_a 4.7362
_cell_length_b 4.7362
_cell_length_c 5.2017
_cell_angle_alpha 90.00
_cell_angle_beta 90.00
_cell_angle_gamma 90.00
loop_
_atom_site_label
_atom_site_fract_x
_atom_site_fract_y
_atom_site_fract_z
_atom_site_occupancy
Na1 0.0000 0.0000 0.0000 1
Si1 0.0000 0.0000 0.5000 1
Ni1 0.5000 0.5000 0.0000 1
Ag1 0.0000 0.5000 0.5000 1
Ag2 0.5000 0.0000 0.5000 1
# Raw total energy, eV/atom: -2.80
# Total magnetic moment, μB/atom: 0.179
# Crystal system: tetragonal
# SG: No. 123
# ΔE_f (raw), eV/atom: 0.85
# DOS at the Fermi energy, states/eV per atom: 1.540



[2]
# PuThNpAu (PBE, relaxed)
data_PuThNpAu
_space_group_name_H-M_alt 'P 1'
_space_group_IT_number 1
_space_group_name_Hall 'P 1'
_cell_length_a 7.3250
_cell_length_b 7.3250
_cell_length_c 7.3250
_cell_angle_alpha 90.00
_cell_angle_beta 90.00
_cell_angle_gamma 90.00
loop_
_atom_site_label
_atom_site_fract_x
_atom_site_fract_y
_atom_site_fract_z
_atom_site_occupancy
Pu1 0.0000 0.0000 0.0000 1
Pu2 0.0000 0.5000 0.5000 1
Pu3 0.5000 0.0000 0.5000 1
Pu4 0.5000 0.5000 0.0000 1
Th1 0.0000 0.0000 0.5000 1
Th2 0.0000 0.5000 0.0000 1
Th3 0.5000 0.0000 0.0000 1
Th4 0.5000 0.5000 0.5000 1
Np1 0.2500 0.2500 0.2500 1
Np2 0.2500 0.7500 0.7500 1
Np3 0.7500 0.2500 0.7500 1
Np4 0.7500 0.7500 0.2500 1
Au1 0.2500 0.2500 0.7500 1
Au2 0.2500 0.7500 0.2500 1
Au3 0.7500 0.2500 0.2500 1
Au4 0.7500 0.7500 0.7500 1
# Raw total energy, eV/atom: -9.38
# Total magnetic moment, μB/atom: 2.738
# Crystal system: cubic
# SG: No. 216
# DOS at the Fermi energy, states/eV per atom: 2.734



[3]
# Fe5As (PBE, relaxed)
data_Fe5As
_space_group_name_H-M_alt 'P 1'
_space_group_IT_number 1
_space_group_name_Hall 'P 1'
_cell_length_a 4.6313
_cell_length_b 4.6313
_cell_length_c 4.2176
_cell_angle_alpha 90.00
_cell_angle_beta 90.00
_cell_angle_gamma 120.00
loop_
_atom_site_label
_atom_site_fract_x
_atom_site_fract_y
_atom_site_fract_z
_atom_site_occupancy
Fe1 0.0000 0.5000 0.0000 1
Fe2 0.3333 0.6667 0.5000 1
Fe3 0.5000 0.0000 0.0000 1
Fe4 0.5000 0.5000 0.0000 1
Fe5 0.6667 0.3333 0.5000 1
As1 0.0000 0.0000 0.5000 1
# Raw total energy, eV/atom: -7.45
# Total magnetic moment, μB/atom: 1.710
# Crystal system: hexagonal
# SG: No. 191
# DOS at the Fermi energy, states/eV per atom: 1.037



[4]
# Al2CuSi (PBE, relaxed)
data_Al2CuSi
_space_group_name_H-M_alt 'P 1'
_space_group_IT_number 1
_space_group_name_Hall 'P 1'
_cell_length_a 8.3382
_cell_length_b 2.9041
_cell_length_c 4.9898
_cell_angle_alpha 90.00
_cell_angle_beta 102.16
_cell_angle_gamma 90.00
loop_
_atom_site_label
_atom_site_fract_x
_atom_site_fract_y
_atom_site_fract_z
_atom_site_occupancy
Al1 0.2458 0.0000 0.2369 1
Al2 0.2542 0.5000 0.7631 1
Al3 0.7458 0.5000 0.2369 1
Al4 0.7542 0.0000 0.7631 1
Cu1 0.0000 0.5000 0.0000 1
Cu2 0.5000 0.0000 0.0000 1
Si1 0.0000 0.0000 0.5000 1
Si2 0.5000 0.5000 0.5000 1
# Raw total energy, eV/atom: -4.19
# Total magnetic moment, μB/atom: 0.000
# Crystal system: monoclinic
# SG: No. 12
# ΔE_f (raw), eV/atom: 0.06
# DOS at the Fermi energy, states/eV per atom: 0.262



Q: What is the DOS at the Fermi energy in the second record?
A: 2.734 states/eV per atom



Q: The highest total magnetic moment belongs to which entry?
A: PuThNpAu



Q: What is the DOS at the Fermi energy in the first record?
A: 1.540 states/eV per atom



Q: Number 3 is which compound?
A: Fe5As